No. 1
8
Lattice="-3.498 1.568 0.827 0.782 -0.277 3.833 3.159 7.116 -0.131" Properties=species:S:1:pos:R:3 comment="Sm2Ni2B2AsC PBE relaxed" magmom_total_mub_per_atom=0.0008 spacegroup="No. 99" pbc="T T T"
C 1.256 6.534 2.222
Ni 1.970 3.419 1.851
Ni -0.170 4.341 0.348
Sm 2.510 5.654 -0.104
Sm -0.903 1.669 2.311
As 0.528 1.190 -0.022
B 1.364 3.072 -0.056
B 0.650 5.168 2.247


No. 2
8
Lattice="2.390 5.954 1.245 -3.124 -3.309 4.690 4.266 -2.010 1.423" Properties=species:S:1:pos:R:3 comment="GdAlHg2 PBE relaxed" magmom_total_mub_per_atom=0.0001 spacegroup="No. 63" pbc="T T T"
Gd 1.919 -1.720 4.606
Gd 1.613 2.355 2.752
Hg 3.516 -0.039 2.194
Hg 0.016 0.673 5.165
Hg 3.137 1.327 5.259
Hg 0.395 -0.692 2.099
Al -1.232 -2.424 4.530
Al 4.764 3.059 2.828


No. 3
10
Lattice="2.350 -12.941 0.000 2.350 12.941 0.000 0.000 0.000 4.602" Properties=species:S:1:pos:R:3 comment="Gd3In2Pb5 PBE relaxed" magmom_total_mub_per_atom=0.0002 spacegroup="No. 65" pbc="T T T"
In 2.350 -10.425 0.000
In 2.350 10.425 0.000
Pb 2.350 7.616 2.301
Pb 2.350 -2.530 2.301
Pb 0.000 0.000 2.301
Pb 2.350 -7.616 2.301
Pb 2.350 2.530 2.301
Gd 2.350 4.876 0.000
Gd 2.350 -4.876 0.000
Gd 2.350 0.000 0.000


No. 4
7
Lattice="5.296 -2.130 0.000 5.296 2.130 0.000 -1.181 0.000 6.874" Properties=species:S:1:pos:R:3 comment="HoErIn3Si2 PBE relaxed" magmom_total_mub_per_atom=0.0002 spacegroup="No. 8" pbc="T T T"
Si 0.852 0.000 0.807
Si 8.560 0.000 6.073
In 10.001 0.000 3.434
In 2.455 0.000 4.471
In 6.958 0.000 2.401
Ho 5.593 0.000 5.721
Er 3.818 0.000 1.150


No. 5
10
Lattice="-4.825 -0.713 3.247 -2.131 -4.230 3.450 7.686 6.136 4.323" Properties=species:S:1:pos:R:3 comment="PrSmGe2Pt PBE relaxed" magmom_total_mub_per_atom=0.0086 spacegroup="No. 12" pbc="T T T"
Sm -0.426 -0.225 1.761
Sm 1.156 1.418 9.259
Pr -1.740 -0.784 9.547
Pr 2.470 1.977 1.473
Ge 3.201 2.875 7.344
Ge -2.472 -1.682 3.676
Ge 0.987 1.002 4.274
Ge -0.257 0.191 6.746
Pt -2.472 -1.531 6.294
Pt 3.202 2.724 4.726


No. 6
42
Lattice="7.341 0.000 0.000 -3.670 6.357 0.000 0.000 0.000 14.201" Properties=species:S:1:pos:R:3 comment="Al5Pd2 PBE relaxed" spacegroup="No. 185" pbc="T T T"
Al 1.365 2.364 2.758
Al -2.733 4.733 8.445
Al -2.305 3.993 2.758
Al 4.611 0.000 2.758
Al 1.374 2.380 5.731
Al 2.296 3.977 12.832
Al 0.000 0.000 6.060
Al 2.730 0.000 9.859
Al 1.875 0.000 1.345
Al 3.670 2.119 0.934
Al 1.116 1.932 11.479
Al 2.231 0.000 4.378
Al -1.365 2.364 9.859
Al 5.465 0.000 8.445
Al 0.000 4.238 8.035
Al 2.733 4.733 1.345
Al 2.555 4.425 4.378
Al 0.000 0.000 13.160
Al 3.670 2.119 8.035
Al 5.109 0.000 11.479
Al 4.592 0.000 5.731
Al -0.938 1.624 1.345
Al -1.116 1.932 4.378
Al -1.374 2.380 12.832
Al 0.000 4.238 0.934
Al -2.296 3.977 5.731
Al -2.555 4.425 11.479
Al 0.938 1.624 8.445
Al 2.748 0.000 12.832
Al 2.305 3.993 9.859
Pd 2.402 0.000 7.078
Pd -2.469 4.277 14.179
Pd 4.938 0.000 14.179
Pd 1.201 2.080 14.179
Pd -1.201 2.080 7.078
Pd 3.670 2.119 11.021
Pd 0.000 4.238 11.021
Pd 3.670 2.119 3.921
Pd 2.469 4.277 7.078
Pd 0.000 4.238 3.921
Pd 0.000 0.000 3.159
Pd 0.000 0.000 10.259


No. 7
6
Lattice="-2.568 -1.278 4.398 0.708 2.826 4.368 -3.854 3.089 1.782" Properties=species:S:1:pos:R:3 comment="Ir2Se PBE relaxed" magmom_total_mub_per_atom=0.0107 spacegroup="No. 227" pbc="T T T"
Ir -1.644 1.353 5.702
Ir -3.925 1.485 4.408
Ir -3.571 2.898 6.593
Ir -2.287 3.537 4.394
Se 0.000 0.000 0.000
Se -1.428 1.159 2.637


No. 8
3
Lattice="-0.183 -4.444 3.196 2.100 0.174 5.055 -3.323 -0.108 4.351" Properties=species:S:1:pos:R:3 comment="CsTlIr PBE relaxed" magmom_total_mub_per_atom=0.3342 spacegroup="No. 216" pbc="T T T"
Ir -0.351 -1.095 3.150
Tl -1.054 -3.284 9.451
Cs 0.000 0.000 0.000


No. 9
4
Lattice="4.121 -0.320 2.953 -0.399 0.756 5.007 0.529 -3.903 3.208" Properties=species:S:1:pos:R:3 comment="ZrZnSb2 PBE relaxed" magmom_total_mub_per_atom=0.0046 spacegroup="No. 216" pbc="T T T"
Zr 0.000 0.000 0.000
Sb 2.125 -1.733 5.584
Sb 1.063 -0.867 2.792
Zn 3.188 -2.600 8.376


No. 10
4
Lattice="0.000 3.211 3.211 3.211 0.000 3.211 3.211 3.211 0.000" Properties=species:S:1:pos:R:3 comment="HfBeTcSb PBE relaxed" magmom_total_mub_per_atom=0.0003 spacegroup="No. 216" pbc="T T T"
Hf 0.000 0.000 0.000
Tc 3.211 3.211 3.211
Be 4.816 4.816 4.816
Sb 1.605 1.605 1.605


No. 11
6
Lattice="4.721 0.000 0.000 -2.361 4.089 0.000 0.000 0.000 7.511" Properties=species:S:1:pos:R:3 comment="Sm2TlZn2In PBE relaxed" magmom_total_mub_per_atom=0.0022 spacegroup="No. 156" pbc="T T T"
Zn 0.000 0.000 4.109
Zn 2.361 1.363 0.282
Sm 0.000 2.726 1.814
Sm 0.000 2.726 5.575
Tl 2.361 1.363 3.489
In 0.000 0.000 7.264


No. 12
12
Lattice="5.804 0.000 0.000 -2.902 5.027 0.000 0.000 0.000 8.072" Properties=species:S:1:pos:R:3 comment="CsNdSe2O8 PBE relaxed" magmom_total_mub_per_atom=0.0003 spacegroup="No. 164" pbc="T T T"
O 2.902 1.676 3.700
O 0.000 1.797 6.624
O 0.000 3.351 4.373
O 2.902 3.230 1.448
O 1.346 4.128 6.624
O 4.248 0.898 1.448
O 1.556 0.898 1.448
O -1.346 4.128 6.624
Cs 0.000 0.000 4.036
Se 0.000 3.351 6.013
Se 2.902 1.676 2.059
Nd 0.000 0.000 0.000


Taking the records one at a time from the top gives E values of -51.41, -20.57, -41.89, -31.03, -59.32, -193.15, -36.44, -7.44, -17.48, -27.81, -19.62, -70.41 eV/cell.
Taking the records one at a time from the top gives mass density values of 7.30, 10.67, 10.31, 7.85, 9.20, 5.23, 15.04, 7.57, 7.17, 10.22, 8.60, 3.97 g cm⁻³.